(1)
GGA-PBE Rb3I2Br6, optimized geometry; crystal system = monoclinic; raw formation energy = -0.85 eV per atom; space-group type = No. 12
1.0
-4.383 1.970 3.468
-4.354 -1.518 -3.722
-6.040 -12.301 5.944
I Br Rb
2 6 3
direct
0.737 0.737 0.709
0.263 0.263 0.291
0.604 0.068 0.841
0.396 0.932 0.159
0.068 0.604 0.841
0.374 0.374 0.438
0.932 0.396 0.159
0.626 0.626 0.562
0.000 0.000 0.000
0.805 0.805 0.301
0.195 0.195 0.699



(2)
GGA-PBE Nb2MoS6, optimized geometry; crystal system = tetragonal; raw formation energy = -0.72 eV per atom; space-group type = No. 136
1.0
-5.856 1.383 -0.215
-1.376 -5.518 1.977
0.425 3.253 9.375
S Mo Nb
12 2 4
direct
0.291 0.291 0.837
0.709 0.709 0.500
0.209 0.791 0.000
0.291 0.291 0.500
0.209 0.791 0.663
0.791 0.209 0.337
0.709 0.709 0.837
0.791 0.209 0.000
0.291 0.291 0.163
0.209 0.791 0.337
0.709 0.709 0.163
0.791 0.209 0.663
0.000 0.000 0.500
0.500 0.500 0.000
0.500 0.500 0.676
0.000 0.000 0.176
0.500 0.500 0.324
0.000 0.000 0.824



(3)
GGA-PBE Rb3UPd2S6, optimized geometry; crystal system = monoclinic; raw formation energy = -0.86 eV per atom; space-group type = No. 12
1.0
7.607 -0.735 -0.062
-4.439 6.222 -0.062
-1.132 -1.959 7.487
Pd S Rb U
2 6 3 1
direct
0.392 0.608 0.000
0.608 0.392 0.000
0.767 0.767 0.217
0.879 0.607 0.823
0.233 0.233 0.783
0.121 0.393 0.177
0.393 0.121 0.177
0.607 0.879 0.823
0.179 0.821 0.500
0.500 0.500 0.500
0.821 0.179 0.500
0.000 0.000 0.000



(4)
GGA-PBE Tb2AsPd, optimized geometry; crystal system = trigonal; ΔE_f = -0.469 eV per atom; space-group type = No. 166
1.0
3.832 0.000 0.000
1.916 3.319 0.000
1.916 1.106 8.766
Pd Tb As
1 2 1
direct
0.000 0.000 0.000
0.899 0.899 0.302
0.101 0.101 0.698
0.500 0.500 0.500



(5)
GGA-PBE LuTiCdAu, optimized geometry; crystal system = cubic; ΔE_f = -0.283 eV per atom; space-group type = No. 216
1.0
-3.720 -1.676 2.702
-3.987 -1.815 -2.182
-0.920 -4.803 0.186
Au Ti Lu Cd
1 1 1 1
direct
0.000 0.000 0.000
0.250 0.250 0.250
0.750 0.750 0.750
0.500 0.500 0.500



(6)
GGA-PBE Sr3Ca5, optimized geometry; crystal system = orthorhombic; ΔE_f = 0.013 eV per atom; space-group type = No. 65
1.0
8.121 0.007 0.000
-0.031 8.121 0.000
0.000 0.000 5.635
Ca Sr
5 3
direct
0.000 0.000 0.000
0.000 0.500 0.000
0.754 0.754 0.500
0.500 0.000 0.000
0.246 0.246 0.500
0.500 0.500 0.000
0.754 0.246 0.500
0.246 0.754 0.500



| no. | raw total energy (eV per cell) |
| --- | --- |
| 1 | -25.3 |
| 2 | -124.4 |
| 3 | -59.7 |
| 4 | -21.0 |
| 5 | -17.7 |
| 6 | -14.9 |